Material: YErCu2
Method: DFT, PBE
State: optimized geometry

a = 4.4744 Å, b = 3.6747 Å, c = 10.2897 Å
α = 90.00°, β = 90.00°, γ = 90.00°
Sites, in units of the cell vectors:
Y 0.0000 0.0000 0.0000
Y 0.0000 0.5000 0.5000
Er 0.5000 0.0000 0.7197
Er 0.5000 0.5000 0.2197
Cu 0.0000 0.0000 0.2850
Cu 0.0000 0.5000 0.7850
Cu 0.5000 0.0000 0.4317
Cu 0.5000 0.5000 0.9317

Results
formation enthalpy at 0 K: -0.26 eV per atom
space group: Amm2
total moment: 0.0 μB per formula unit
total DFT energy (no corrections): -39.00 eV for the cell shown